Record 1
This record from Alexandria via LeMat-Bulk describes a relaxed InCu2Au4 crystal. The functional is PBE.

Results
Calculated formation energy = 7 meV/atom
Symmetry = I4/mmm, No. 139
Energy relative to the lowest polymorph listed for this composition = 3 meV per atom

Structure (extended XYZ):
```
7
Lattice="-3.4075 3.4075 2.7889 3.4075 -3.4075 2.7889 3.4075 3.4075 -2.7889" Properties=species:S:1:pos:R:3 pbc="T T T"
In 0.0000 0.0000 0.0000
Cu 3.4075 0.0000 0.0000
Cu 0.0000 3.4075 0.0000
Au 1.7037 1.7037 -1.3945
Au 1.7037 -1.7037 1.3945
Au -1.7037 1.7037 1.3945
Au 1.7037 1.7037 1.3945
```

Record 2
This record from Alexandria via LeMat-Bulk describes a relaxed PmInO4 crystal. The functional is PBE.

Results
Formation energy without anion corrections = -1970 meV/atom
Symmetry = Cm, No. 8

Structure (extended XYZ):
```
6
Lattice="3.4640 -1.8484 0.0000 3.4640 1.8484 0.0000 -0.5820 0.0000 6.2848" Properties=species:S:1:pos:R:3 pbc="T T T"
Pm 0.0000 0.0000 0.0000
In 2.2143 0.0000 2.8928
O 0.0091 0.0000 2.4184
O 2.2075 0.0000 0.5989
O 3.5838 0.0000 4.7642
O 4.9677 0.0000 4.2260
```

Record 3
This record from Alexandria via LeMat-Bulk describes a relaxed FeAg2W2 crystal. The functional is PBE.

Results
Calculated formation energy = 1071 meV/atom
Symmetry = I4/mmm, No. 139

Structure (extended XYZ):
```
5
Lattice="-1.7958 1.7958 7.0885 1.7958 -1.7958 7.0885 1.7958 1.7958 -7.0885" Properties=species:S:1:pos:R:3 pbc="T T T"
Fe 0.0000 0.0000 0.0000
Ag 0.0000 0.0000 5.7713
Ag 0.0000 0.0000 8.4057
W 1.7958 0.0000 3.5442
W 0.0000 1.7958 3.5442
```

Number 1: M_tot 0.000 Bohr magnetons per cell. Number 2: M_tot 0.000 Bohr magnetons per cell. Number 3: M_tot 3.248 Bohr magnetons per cell.